1.
PBE-GGA Ba5Cu2As5, relaxed; energy = -51.06 eV for the cell shown; ΔE_f = -834 meV/atom
1.0
8.281 -2.168 0.000
8.281 2.168 0.000
-7.169 0.000 9.935
Ba Cu As
5 2 5
direct
0.000 0.000 0.000 Ba
0.317 0.317 0.417 Ba
0.380 0.380 0.187 Ba
0.620 0.620 0.813 Ba
0.683 0.683 0.583 Ba
0.382 0.382 0.739 Cu
0.618 0.618 0.261 Cu
0.000 0.000 0.500 As
0.076 0.076 0.324 As
0.308 0.308 0.863 As
0.692 0.692 0.137 As
0.924 0.924 0.676 As



2.
PBE-GGA Li2ZrMn, relaxed; energy = -19.82 eV for the cell shown; ΔE_f = 431 meV/atom; polymorph energy (0 for the lowest one) = 243.1 meV/atom
1.0
0.000 3.190 3.190
3.190 0.000 3.190
3.190 3.190 0.000
Li Zr Mn
2 1 1
direct
0.250 0.250 0.250 Li
0.750 0.750 0.750 Li
0.000 0.000 0.000 Zr
0.500 0.500 0.500 Mn



Q: Which value of energy does entry 1 give?
A: -51.06 eV for the cell shown